## La5NdTl6 (GGA-PBE)

Data for a relaxed structure of La5NdTl6.

Cell lengths 5.623, 9.729, 9.702 Å; angles 60.31, 73.68, 54.73 degrees
Sites, in units of the cell vectors:
Tl: 0.755 0.410 0.671
Tl: 0.245 0.590 0.329
Tl: 0.755 0.081 0.329
Tl: 0.245 0.919 0.671
Tl: 0.740 0.760 0.000
Tl: 0.260 0.240 0.000
Nd: 0.000 0.000 0.000
La: 0.500 0.829 0.342
La: 0.500 0.500 0.000
La: 0.000 0.336 0.328
La: 0.500 0.171 0.658
La: 0.000 0.664 0.672

Properties
Calculated total energy (eV per atom): -4.05
Density (kg/m³): 9111
Energy relative to the elements (eV/atom): -0.417
Spin magnetization (μB/cell): 0.000



## Gd (GGA-PBE)

Data for a relaxed structure of Gd.

Cell lengths 3.606, 3.606, 11.622 Å; angles 90.00, 90.00, 120.00 degrees
Site moments in Bohr magnetons follow the coordinates.
Sites, in units of the cell vectors:
Gd: 0.000 0.000 0.500  7.17
Gd: 0.333 0.667 0.250  7.17
Gd: 0.667 0.333 0.750  7.17
Gd: 0.000 0.000 0.000  7.17

Properties
Calculated total energy (eV per atom): -14.05
Density (kg/m³): 7979
Energy relative to the elements (eV/atom): 0.033
Relative energy among the computed polymorphs (meV per atom): 33
Spin magnetization (μB/cell): 29.751



## ZrTlSb2 (GGA-PBE)

Data for a relaxed structure of ZrTlSb2.

Cell lengths 3.327, 3.327, 9.335 Å; angles 90.00, 90.00, 90.00 degrees
Sites, in units of the cell vectors:
Zr: 0.500 0.500 0.749
Sb: 0.500 0.500 0.265
Sb: 0.000 0.000 0.969
Tl: 0.000 0.000 0.516

Properties
Calculated total energy (eV per atom): -4.73
Density (kg/m³): 8663
Relative energy among the computed polymorphs (meV per atom): 338
Spin magnetization (μB/cell): 0.000
Uncorrected formation energy (meV/atom): 57.3



## Tm3HfN4 (GGA-PBE)

Data for a relaxed structure of Tm3HfN4.

Cell lengths 4.728, 4.728, 4.728 Å; angles 90.00, 90.00, 90.00 degrees
Sites, in units of the cell vectors:
N: 0.500 0.000 0.000
N: 0.000 0.500 0.000
N: 0.500 0.500 0.500
N: 0.000 0.000 0.500
Tm: 0.500 0.000 0.500
Tm: 0.500 0.500 0.000
Tm: 0.000 0.500 0.500
Hf: 0.000 0.000 0.000

Properties
Calculated total energy (eV per atom): -8.89
Density (kg/m³): 11649
Relative energy among the computed polymorphs (meV per atom): 48
Spin magnetization (μB/cell): 0.000
Uncorrected formation energy (meV/atom): -1808.4



## MnCrSb2 (GGA-PBE)

Data for a relaxed structure of MnCrSb2.

Cell lengths 3.152, 3.157, 7.970 Å; angles 90.00, 90.00, 90.00 degrees
Site moments in Bohr magnetons follow the coordinates.
Sites, in units of the cell vectors:
Mn: 0.500 0.500 0.700  2.61
Sb: 0.000 0.000 0.915  -0.04
Sb: 0.500 0.500 0.332  0.04
Cr: 0.000 0.000 0.552  -1.10

Properties
Calculated total energy (eV per atom): -6.59
Density (kg/m³): 7338
Relative energy among the computed polymorphs (meV per atom): 137
Spin magnetization (μB/cell): 1.562
Uncorrected formation energy (meV/atom): 167.2



## MgGeB2S (GGA-PBE)

Data for a relaxed structure of MgGeB2S.

Cell lengths 3.904, 5.060, 3.904 Å; angles 90.00, 90.00, 90.00 degrees
Sites, in units of the cell vectors:
S: 0.000 0.000 0.000
B: 0.000 0.000 0.500
B: 0.500 0.000 0.000
Ge: 0.000 0.500 0.000
Mg: 0.500 0.500 0.500

Properties
Calculated total energy (eV per atom): -3.48
Density (kg/m³): 3244
Spin magnetization (μB/cell): 0.000
Uncorrected formation energy (meV/atom): 1259.5



## CrIn2P (GGA-PBE)

Data for a relaxed structure of CrIn2P.

Cell lengths 8.058, 8.058, 8.058 Å; angles 25.29, 25.29, 25.29 degrees
Site moments in Bohr magnetons follow the coordinates.
Sites, in units of the cell vectors:
Cr: 0.768 0.768 0.768  2.74
In: 0.238 0.238 0.238  0.01
In: 0.012 0.012 0.012  0.00
P: 0.483 0.483 0.483  -0.13

Properties
Calculated total energy (eV per atom): -5.04
Density (kg/m³): 6175
Energy relative to the elements (eV/atom): 0.089
Spin magnetization (μB/cell): 2.830



## CaPmGa (GGA-PBE)

Data for a relaxed structure of CaPmGa.

Cell lengths 7.731, 7.959, 7.731 Å; angles 68.04, 76.71, 111.96 degrees
Sites, in units of the cell vectors:
Ca: 0.404 0.866 0.337
Ca: 0.796 0.134 0.463
Ca: 0.787 0.634 0.454
Ca: 0.913 0.366 0.846
Ga: 0.426 0.622 0.733
Ga: 0.054 0.878 0.605
Ga: 0.645 0.378 0.196
Ga: 0.517 0.122 0.824
Pm: 0.303 0.293 0.558
Pm: 0.692 0.793 0.947
Pm: 0.259 0.207 0.101
Pm: 0.149 0.707 0.991

Properties
Calculated total energy (eV per atom): -3.52
Density (kg/m³): 4582
Energy relative to the elements (eV/atom): -0.257
Relative energy among the computed polymorphs (meV per atom): 168
Spin magnetization (μB/cell): 0.000



## Tb4TeRh2 (GGA-PBE)

Data for a relaxed structure of Tb4TeRh2.

Cell lengths 8.536, 8.536, 8.524 Å; angles 119.93, 119.91, 90.18 degrees
Sites, in units of the cell vectors:
Te: 0.250 0.750 0.500
Te: 0.000 0.000 0.000
Tb: 0.856 0.568 0.712
Tb: 0.395 0.606 0.788
Tb: 0.394 0.182 0.788
Tb: 0.818 0.606 0.212
Tb: 0.856 0.145 0.288
Tb: 0.855 0.144 0.712
Tb: 0.432 0.144 0.288
Tb: 0.394 0.605 0.212
Rh: 0.625 0.875 0.250
Rh: 0.125 0.375 0.750
Rh: 0.625 0.375 0.750
Rh: 0.625 0.375 0.250

Properties
Calculated total energy (eV per atom): -5.97
Density (kg/m³): 7322
Relative energy among the computed polymorphs (meV per atom): 70
Spin magnetization (μB/cell): 0.000
Uncorrected formation energy (meV/atom): -774.5



## Pm5Np3S8 (GGA-PBE)

Data for a relaxed structure of Pm5Np3S8.

Cell lengths 7.978, 7.978, 7.973 Å; angles 59.98, 59.98, 60.00 degrees
Site moments in Bohr magnetons follow the coordinates.
Sites, in units of the cell vectors:
Np: 0.000 0.000 0.500  3.94
Np: 0.500 0.000 0.500  3.94
Np: 0.000 0.500 0.500  3.94
S: 0.243 0.750 0.257  -0.04
S: 0.250 0.757 0.743  -0.04
S: 0.757 0.250 0.743  -0.04
S: 0.754 0.754 0.738  -0.06
S: 0.246 0.246 0.262  -0.06
S: 0.750 0.750 0.257  -0.04
S: 0.750 0.243 0.257  -0.04
S: 0.250 0.250 0.743  -0.04
Pm: 0.500 0.500 0.000  0.00
Pm: 0.000 0.500 0.000  0.00
Pm: 0.000 0.000 0.000  0.06
Pm: 0.500 0.000 0.000  0.00
Pm: 0.500 0.500 0.500  0.06

Properties
Calculated total energy (eV per atom): -7.76
Density (kg/m³): 7834
Spin magnetization (μB/cell): 12.904
Uncorrected formation energy (meV/atom): -1784.9



## LiAlCr (GGA-PBE)

Data for a relaxed structure of LiAlCr.

Cell lengths 4.309, 4.309, 2.609 Å; angles 90.00, 90.00, 120.00 degrees
Site moments in Bohr magnetons follow the coordinates.
Sites, in units of the cell vectors:
Al: 0.000 0.000 0.937  -0.06
Li: 0.667 0.333 0.687  0.00
Cr: 0.333 0.667 0.376  2.19

Properties
Calculated total energy (eV per atom): -4.93
Density (kg/m³): 3401
Energy relative to the elements (eV/atom): 0.163
Relative energy among the computed polymorphs (meV per atom): 0
Spin magnetization (μB/cell): 2.280



## NaY2Mo2 (GGA-PBE)

Data for a relaxed structure of NaY2Mo2.

Cell lengths 3.637, 3.637, 11.264 Å; angles 80.71, 80.71, 90.00 degrees
Sites, in units of the cell vectors:
Mo: 0.750 0.250 0.500
Mo: 0.250 0.750 0.500
Y: 0.637 0.637 0.727
Y: 0.363 0.363 0.273
Na: 0.000 0.000 0.000

Properties
Calculated total energy (eV per atom): -6.71
Density (kg/m³): 4495
Energy relative to the elements (eV/atom): 0.473
Relative energy among the computed polymorphs (meV per atom): 0
Spin magnetization (μB/cell): 0.000



## Zr2TaTl (GGA-PBE)

Data for a relaxed structure of Zr2TaTl.

Cell lengths 3.066, 3.066, 9.636 Å; angles 90.00, 90.00, 104.47 degrees
Sites, in units of the cell vectors:
Zr: 0.500 0.500 0.258
Zr: 0.000 0.000 0.005
Ta: 0.000 0.000 0.495
Tl: 0.500 0.500 0.743

Properties
Calculated total energy (eV per atom): -7.63
Density (kg/m³): 10751
Energy relative to the elements (eV/atom): 0.202
Relative energy among the computed polymorphs (meV per atom): 206
Spin magnetization (μB/cell): 0.000



## Cu2PRu (GGA-PBE)

Data for a relaxed structure of Cu2PRu.

Cell lengths 4.888, 4.888, 4.888 Å; angles 138.42, 138.42, 60.26 degrees
Site moments in Bohr magnetons follow the coordinates.
Sites, in units of the cell vectors:
Ru: 0.750 0.250 0.500  0.31
Cu: 0.000 0.000 0.000  0.03
Cu: 0.500 0.500 0.000  0.03
P: 0.250 0.750 0.500  0.01

Properties
Calculated total energy (eV per atom): -5.58
Density (kg/m³): 8453
Energy relative to the elements (eV/atom): 0.138
Spin magnetization (μB/cell): 0.404



## Pm6GaS4 (GGA-PBE)

Data for a relaxed structure of Pm6GaS4.

Cell lengths 4.017, 7.023, 20.583 Å; angles 90.00, 90.00, 106.62 degrees
Site moments in Bohr magnetons follow the coordinates.
Sites, in units of the cell vectors:
Pm: 0.227 0.454 0.918  0.01
Pm: 0.500 0.000 0.000  0.00
Pm: 0.045 0.090 0.162  0.07
Pm: 0.773 0.546 0.418  0.01
Pm: 0.045 0.090 0.338  0.07
Pm: 0.773 0.546 0.082  0.01
Pm: 0.955 0.910 0.662  0.07
Pm: 0.227 0.454 0.582  0.01
Pm: 0.955 0.910 0.838  0.07
Pm: 0.669 0.338 0.750  0.09
Pm: 0.500 0.000 0.500  0.00
Pm: 0.331 0.662 0.250  0.09
S: 0.408 0.816 0.376  0.00
S: 0.592 0.184 0.624  0.00
S: 0.863 0.726 0.959  0.00
S: 0.863 0.726 0.541  0.00
S: 0.137 0.274 0.041  0.00
S: 0.137 0.274 0.459  0.00
S: 0.592 0.184 0.876  0.00
S: 0.408 0.816 0.124  0.00
Ga: 0.337 0.673 0.750  -0.01
Ga: 0.663 0.327 0.250  -0.01

Properties
Calculated total energy (eV per atom): -5.97
Density (kg/m³): 6375
Spin magnetization (μB/cell): 1.237
Uncorrected formation energy (meV/atom): -1600.4



## CaRu3Br (GGA-PBE)

Data for a relaxed structure of CaRu3Br.

Cell lengths 4.618, 4.618, 4.618 Å; angles 90.00, 90.00, 90.00 degrees
Sites, in units of the cell vectors:
Ru: 0.000 0.000 0.500
Ru: 0.000 0.500 0.000
Ru: 0.500 0.000 0.000
Ca: 0.500 0.500 0.500
Br: 0.000 0.000 0.000

Properties
Calculated total energy (eV per atom): -5.32
Density (kg/m³): 7135
Relative energy among the computed polymorphs (meV per atom): 0
Spin magnetization (μB/cell): 0.000
Uncorrected formation energy (meV/atom): 979.4



## HoTi2Mn (GGA-PBE)

Data for a relaxed structure of HoTi2Mn.

Cell lengths 3.065, 3.065, 7.716 Å; angles 90.00, 90.00, 90.00 degrees
Sites, in units of the cell vectors:
Ti: 0.000 0.000 0.179
Ti: 0.000 0.000 0.821
Mn: 0.500 0.500 0.000
Ho: 0.500 0.500 0.500

Properties
Calculated total energy (eV per atom): -7.36
Density (kg/m³): 7227
Energy relative to the elements (eV/atom): 0.027
Spin magnetization (μB/cell): 0.001



## SiAg2C2 (GGA-PBE)

Data for a relaxed structure of SiAg2C2.

Cell lengths 5.387, 5.387, 4.605 Å; angles 90.00, 90.00, 90.00 degrees
Sites, in units of the cell vectors:
Ag: 0.807 0.307 0.500
Ag: 0.307 0.193 0.500
Ag: 0.693 0.807 0.500
Ag: 0.193 0.693 0.500
C: 0.762 0.262 0.000
C: 0.262 0.238 0.000
C: 0.238 0.738 0.000
C: 0.738 0.762 0.000
Si: 0.000 0.000 0.000
Si: 0.500 0.500 0.000

Properties
Calculated total energy (eV per atom): -4.59
Density (kg/m³): 6656
Relative energy among the computed polymorphs (meV per atom): 56
Spin magnetization (μB/cell): 0.000
Uncorrected formation energy (meV/atom): 1324.1



## Pm2Y17 (GGA-PBE)

Data for a relaxed structure of Pm2Y17.

Cell lengths 8.800, 8.800, 8.800 Å; angles 79.95, 79.95, 79.95 degrees
Sites, in units of the cell vectors:
Pm: 0.324 0.324 0.324
Pm: 0.676 0.676 0.676
Y: 0.902 0.902 0.902
Y: 0.632 0.632 0.149
Y: 0.000 0.000 0.500
Y: 0.368 0.368 0.851
Y: 0.149 0.632 0.632
Y: 0.702 0.298 0.000
Y: 0.702 0.000 0.298
Y: 0.000 0.702 0.298
Y: 0.368 0.851 0.368
Y: 0.851 0.368 0.368
Y: 0.632 0.149 0.632
Y: 0.500 0.000 0.000
Y: 0.098 0.098 0.098
Y: 0.298 0.702 0.000
Y: 0.000 0.298 0.702
Y: 0.298 0.000 0.702
Y: 0.000 0.500 0.000

Properties
Calculated total energy (eV per atom): -6.00
Density (kg/m³): 4578
Energy relative to the elements (eV/atom): 0.285
Spin magnetization (μB/cell): 0.035



## YAg2As2 (GGA-PBE)

Data for a relaxed structure of YAg2As2.

Cell lengths 4.315, 4.315, 6.592 Å; angles 70.90, 70.90, 90.00 degrees
Sites, in units of the cell vectors:
Ag: 0.612 0.612 0.777
Ag: 0.388 0.388 0.223
As: 0.750 0.250 0.500
As: 0.250 0.750 0.500
Y: 0.000 0.000 0.000

Properties
Calculated total energy (eV per atom): -4.46
Density (kg/m³): 6938
Energy relative to the elements (eV/atom): -0.167
Relative energy among the computed polymorphs (meV per atom): 260
Spin magnetization (μB/cell): 0.000